Record 1
{
  "formula": "Ba3SrMg8",
  "functional": "PBE",
  "state": "optimized geometry",
  "n_ef_per_ev_cell": 12.6,
  "formation_enthalpy_0k_ev_per_fu": -1.0,
  "sg": "No. 160",
  "crystal_system": "trigonal",
  "magnetic_moment_mub_per_cell": 0.00,
  "lattice": [[3.2894, 1.8992, 10.7363], [-3.2894, 1.8992, 10.7363], [0.0000, -3.7983, 10.7363]],
  "species": ["Ba", "Ba", "Ba", "Sr", "Mg", "Mg", "Mg", "Mg", "Mg", "Mg", "Mg", "Mg"],
  "fractional_positions": [[0.0000, 0.0000, 0.0000], [0.1255, 0.1255, 0.1255], [0.5010, 0.5010, 0.5010], [0.6254, 0.6254, 0.6254], [0.0596, 0.5632, 0.5632], [0.0629, 0.0629, 0.5662], [0.0629, 0.5662, 0.0629], [0.3126, 0.3126, 0.3126], [0.5632, 0.0596, 0.5632], [0.5632, 0.5632, 0.0596], [0.5662, 0.0629, 0.0629], [0.8133, 0.8133, 0.8133]]
}



Record 2
{
  "formula": "BaSr3Mg4",
  "functional": "PBE",
  "state": "optimized geometry",
  "n_ef_per_ev_cell": 7.8,
  "formation_enthalpy_0k_ev_per_fu": -0.4,
  "sg": "No. 123",
  "crystal_system": "tetragonal",
  "magnetic_moment_mub_per_cell": 0.00,
  "lattice": [[4.2490, 0.0000, 0.0000], [0.0000, 4.2490, 0.0000], [0.0000, 0.0000, 16.6941]],
  "species": ["Ba", "Sr", "Sr", "Sr", "Mg", "Mg", "Mg", "Mg"],
  "fractional_positions": [[0.0000, 0.0000, 0.0000], [0.0000, 0.0000, 0.2573], [0.0000, 0.0000, 0.5000], [0.0000, 0.0000, 0.7427], [0.5000, 0.5000, 0.1362], [0.5000, 0.5000, 0.3793], [0.5000, 0.5000, 0.6207], [0.5000, 0.5000, 0.8638]]
}



Record 3
{
  "formula": "Ba3SrMg",
  "functional": "PBE",
  "state": "optimized geometry",
  "n_ef_per_ev_cell": 14.2,
  "formation_enthalpy_0k_ev_per_fu": 0.0,
  "sg": "No. 12",
  "crystal_system": "monoclinic",
  "magnetic_moment_mub_per_cell": 0.00,
  "de_polymorph_ev_per_fu": 0.000,
  "lattice": [[11.8950, -2.2265, 0.0000], [11.8950, 2.2265, 0.0000], [-2.3326, 0.0000, 10.0691]],
  "species": ["Ba", "Ba", "Ba", "Ba", "Ba", "Ba", "Sr", "Sr", "Mg", "Mg"],
  "fractional_positions": [[0.0003, 0.0003, 0.1970], [0.9997, 0.9997, 0.8030], [0.1820, 0.1820, 0.8770], [0.1962, 0.1962, 0.3145], [0.8038, 0.8038, 0.6855], [0.8180, 0.8180, 0.1230], [0.4068, 0.4068, 0.4580], [0.5932, 0.5932, 0.5420], [0.3989, 0.3989, 0.9422], [0.6011, 0.6011, 0.0578]]
}



Record 4
{
  "formula": "Ba3SrMg",
  "functional": "PBE",
  "state": "optimized geometry",
  "n_ef_per_ev_cell": 25.1,
  "formation_enthalpy_0k_ev_per_fu": 0.3,
  "sg": "No. 221",
  "crystal_system": "cubic",
  "magnetic_moment_mub_per_cell": 0.59,
  "de_polymorph_ev_per_fu": 0.272,
  "lattice": [[9.2526, 0.0000, 0.0000], [0.0000, 9.2526, 0.0000], [0.0000, 0.0000, 9.2526]],
  "species": ["Ba", "Ba", "Ba", "Ba", "Ba", "Ba", "Ba", "Ba", "Ba", "Sr", "Sr", "Sr", "Mg", "Mg", "Mg"],
  "fractional_positions": [[0.0000, 0.0000, 0.0000], [0.2766, 0.2766, 0.2766], [0.2766, 0.2766, 0.7234], [0.2766, 0.7234, 0.2766], [0.2766, 0.7234, 0.7234], [0.7234, 0.2766, 0.2766], [0.7234, 0.2766, 0.7234], [0.7234, 0.7234, 0.2766], [0.7234, 0.7234, 0.7234], [0.0000, 0.0000, 0.5000], [0.0000, 0.5000, 0.0000], [0.5000, 0.0000, 0.0000], [0.0000, 0.5000, 0.5000], [0.5000, 0.0000, 0.5000], [0.5000, 0.5000, 0.0000]]
}



Record 5
{
  "formula": "BaSr4Mg5",
  "functional": "PBE",
  "state": "optimized geometry",
  "n_ef_per_ev_cell": 9.2,
  "formation_enthalpy_0k_ev_per_fu": -0.6,
  "sg": "No. 123",
  "crystal_system": "tetragonal",
  "magnetic_moment_mub_per_cell": 0.00,
  "lattice": [[4.2070, 0.0000, 0.0000], [0.0000, 4.2070, 0.0000], [0.0000, 0.0000, 21.1700]],
  "species": ["Ba", "Sr", "Sr", "Sr", "Sr", "Mg", "Mg", "Mg", "Mg", "Mg"],
  "fractional_positions": [[0.0000, 0.0000, 0.0000], [0.0000, 0.0000, 0.2068], [0.0000, 0.0000, 0.4021], [0.0000, 0.0000, 0.5979], [0.0000, 0.0000, 0.7932], [0.5000, 0.5000, 0.1091], [0.5000, 0.5000, 0.3048], [0.5000, 0.5000, 0.5000], [0.5000, 0.5000, 0.6952], [0.5000, 0.5000, 0.8909]]
}



Record 6
{
  "formula": "BaSr3Mg",
  "functional": "PBE",
  "state": "optimized geometry",
  "n_ef_per_ev_cell": 9.9,
  "formation_enthalpy_0k_ev_per_fu": 0.8,
  "sg": "No. 221",
  "crystal_system": "cubic",
  "magnetic_moment_mub_per_cell": 0.00,
  "de_polymorph_ev_per_fu": 0.755,
  "lattice": [[6.5849, 0.0000, 0.0000], [0.0000, 6.5849, 0.0000], [0.0000, 0.0000, 6.5849]],
  "species": ["Ba", "Sr", "Sr", "Sr", "Mg"],
  "fractional_positions": [[0.0000, 0.0000, 0.0000], [0.0000, 0.5000, 0.5000], [0.5000, 0.0000, 0.5000], [0.5000, 0.5000, 0.0000], [0.5000, 0.5000, 0.5000]]
}



Record 7
{
  "formula": "Ba4SrMg2",
  "functional": "PBE",
  "state": "optimized geometry",
  "n_ef_per_ev_cell": 11.2,
  "formation_enthalpy_0k_ev_per_fu": 1.1,
  "sg": "No. 166",
  "crystal_system": "trigonal",
  "magnetic_moment_mub_per_cell": 0.00,
  "lattice": [[3.2469, 1.8746, 10.6242], [-3.2469, 1.8746, 10.6242], [0.0000, -3.7492, 10.6242]],
  "species": ["Ba", "Ba", "Ba", "Ba", "Sr", "Mg", "Mg"],
  "fractional_positions": [[0.1155, 0.1155, 0.1155], [0.2805, 0.2805, 0.2805], [0.7195, 0.7195, 0.7195], [0.8845, 0.8845, 0.8845], [0.5000, 0.5000, 0.5000], [0.3974, 0.3974, 0.3974], [0.6026, 0.6026, 0.6026]]
}



Record 8
{
  "formula": "Ba3Sr4Mg",
  "functional": "PBE",
  "state": "optimized geometry",
  "n_ef_per_ev_cell": 10.1,
  "formation_enthalpy_0k_ev_per_fu": 0.0,
  "sg": "No. 123",
  "crystal_system": "tetragonal",
  "magnetic_moment_mub_per_cell": 0.00,
  "lattice": [[4.3524, 0.0000, 0.0000], [0.0000, 4.3524, 0.0000], [0.0000, 0.0000, 22.7958]],
  "species": ["Ba", "Ba", "Ba", "Sr", "Sr", "Sr", "Sr", "Mg"],
  "fractional_positions": [[0.0000, 0.0000, 0.0000], [0.0000, 0.0000, 0.2757], [0.0000, 0.0000, 0.7243], [0.5000, 0.5000, 0.1371], [0.5000, 0.5000, 0.4135], [0.5000, 0.5000, 0.5865], [0.5000, 0.5000, 0.8629], [0.0000, 0.0000, 0.5000]]
}